Entry 1:
A plane-wave DFT calculation with PBE-GGA was carried out for a relaxed TaSi2Ag crystal.

The calculation puts the formation energy from raw total energies at 0.13 eV/atom.

a b c (Å): 2.832 2.832 8.478
angles (deg): 90.00 90.00 102.74
Sites, in units of the cell vectors:
Ta 0.000 0.000 0.000
Si 0.500 0.500 0.233
Si 0.500 0.500 0.767
Ag 0.000 0.000 0.500

Entry 2:
A plane-wave DFT calculation with PBE-GGA was carried out for a relaxed TaSiAg2 crystal.

The calculation puts the formation energy from raw total energies at 0.16 eV/atom.

a b c (Å): 9.414 9.414 9.414
angles (deg): 17.84 17.84 17.84
Sites, in units of the cell vectors:
Ta 0.000 0.000 0.000
Si 0.257 0.257 0.257
Ag 0.510 0.510 0.510
Ag 0.755 0.755 0.755

Entry 3:
A plane-wave DFT calculation with PBE-GGA was carried out for a relaxed TaSiAg3 crystal.

The calculation puts the formation energy from raw total energies at 1.79 eV/atom. The calculation puts the energy above the most stable polymorph in this dataset at 3.56 eV/f.u.

a b c (Å): 5.125 5.125 5.125
angles (deg): 90.00 90.00 90.00
Sites, in units of the cell vectors:
Ta 0.000 0.000 0.000
Si 0.500 0.500 0.500
Ag 0.000 0.000 0.500
Ag 0.000 0.500 0.000
Ag 0.500 0.000 0.000

Entry 4:
A plane-wave DFT calculation with PBE-GGA was carried out for a relaxed TaSiAg2 crystal.

The calculation puts the formation energy from raw total energies at 0.30 eV/atom.

a b c (Å): 9.686 9.686 9.686
angles (deg): 17.09 17.09 17.09
Sites, in units of the cell vectors:
Ta 0.000 0.000 0.000
Si 0.500 0.500 0.500
Ag 0.246 0.246 0.246
Ag 0.754 0.754 0.754

Entry 5:
A plane-wave DFT calculation with PBE-GGA was carried out for a relaxed TaSi2Ag crystal.

The calculation puts the formation energy from raw total energies at 0.35 eV/atom.

a b c (Å): 4.496 4.496 4.496
angles (deg): 60.00 60.00 60.00
Sites, in units of the cell vectors:
Ta 0.000 0.000 0.000
Si 0.250 0.250 0.250
Si 0.750 0.750 0.750
Ag 0.500 0.500 0.500

Entry 6:
A plane-wave DFT calculation with PBE-GGA was carried out for a relaxed TaSiAg2 crystal.

The calculation puts the formation energy from raw total energies at 0.37 eV/atom.

a b c (Å): 5.577 5.577 5.577
angles (deg): 150.40 125.58 63.17
Sites, in units of the cell vectors:
Ta 0.000 0.000 0.000
Si 0.770 0.270 0.500
Ag 0.275 0.775 0.500
Ag 0.539 0.539 0.000

Entry 7:
A plane-wave DFT calculation with PBE-GGA was carried out for a relaxed TaSi2Ag crystal.

The calculation puts the formation energy from raw total energies at 0.14 eV/atom.

a b c (Å): 4.673 4.673 5.345
angles (deg): 103.66 103.66 36.76
Sites, in units of the cell vectors:
Ta 0.000 0.000 0.000
Si 0.252 0.252 0.808
Si 0.748 0.748 0.192
Ag 0.500 0.500 0.500

Entry 8:
A plane-wave DFT calculation with PBE-GGA was carried out for a relaxed TaSi2Ag crystal.

The calculation puts the formation energy from raw total energies at 0.03 eV/atom.

a b c (Å): 2.875 4.025 5.560
angles (deg): 90.00 90.00 90.00
Sites, in units of the cell vectors:
Ta 0.000 0.000 0.000
Si 0.500 0.500 0.218
Si 0.500 0.500 0.782
Ag 0.500 0.000 0.500

Entry 9:
A plane-wave DFT calculation with PBE-GGA was carried out for a relaxed TaSi2Ag crystal.

The calculation puts the formation energy from raw total energies at 0.11 eV/atom.

a b c (Å): 4.709 4.709 2.873
angles (deg): 90.00 90.00 90.77
Sites, in units of the cell vectors:
Ta 0.000 0.000 0.000
Si 0.000 0.500 0.500
Si 0.500 0.000 0.500
Ag 0.500 0.500 0.000

Entry 10:
A plane-wave DFT calculation with PBE-GGA was carried out for a relaxed TaSi2Ag crystal.

The calculation puts the formation energy from raw total energies at 0.22 eV/atom.

a b c (Å): 8.695 8.695 8.695
angles (deg): 19.64 19.64 19.64
Sites, in units of the cell vectors:
Ta 0.000 0.000 0.000
Si 0.251 0.251 0.251
Si 0.512 0.512 0.512
Ag 0.763 0.763 0.763

Entry 11:
A plane-wave DFT calculation with PBE-GGA was carried out for a relaxed TaSiAg2 crystal.

The calculation puts the formation energy from raw total energies at 0.35 eV/atom.

a b c (Å): 4.559 4.559 4.559
angles (deg): 60.00 60.00 60.00
Sites, in units of the cell vectors:
Ta 0.000 0.000 0.000
Si 0.250 0.250 0.250
Ag 0.500 0.500 0.500
Ag 0.750 0.750 0.750

Entry 12:
A plane-wave DFT calculation with PBE-GGA was carried out for a relaxed Ta3SiAg crystal.

The calculation puts the formation energy from raw total energies at 2.06 eV/atom. The calculation puts the energy above the most stable polymorph in this dataset at 6.05 eV/f.u.

a b c (Å): 4.855 4.855 4.855
angles (deg): 90.00 90.00 90.00
Sites, in units of the cell vectors:
Ta 0.000 0.000 0.500
Ta 0.000 0.500 0.000
Ta 0.500 0.000 0.000
Si 0.500 0.500 0.500
Ag 0.000 0.000 0.000

Entry 13:
A plane-wave DFT calculation with PBE-GGA was carried out for a relaxed TaSiAg2 crystal.

The calculation puts the formation energy from raw total energies at 0.34 eV/atom.

a b c (Å): 2.908 4.349 5.445
angles (deg): 90.00 90.00 90.00
Sites, in units of the cell vectors:
Ta 0.000 0.000 0.000
Si 0.000 0.000 0.500
Ag 0.500 0.500 0.250
Ag 0.500 0.500 0.750

Entry 14:
A plane-wave DFT calculation with PBE-GGA was carried out for a relaxed TaSi2Ag crystal.

The calculation puts the formation energy from raw total energies at 0.06 eV/atom.

a b c (Å): 3.509 3.509 5.287
angles (deg): 90.00 90.00 90.00
Sites, in units of the cell vectors:
Ta 0.000 0.000 0.000
Si 0.000 0.000 0.515
Si 0.500 0.500 0.816
Ag 0.500 0.500 0.320